Arrangement 1

# NiRh2, optimized geometry, DFT PBEsol
data_NiRh2
_cell_length_a 5.228
_cell_length_b 3.696
_cell_length_c 7.808
_cell_angle_alpha 90.00
_cell_angle_beta 90.00
_cell_angle_gamma 90.00
_symmetry_space_group_name_H-M 'P n m a'
_symmetry_Int_Tables_number 62
_symmetry_space_group_name_Hall '-P 2ac 2n'
loop_
_atom_site_label
_atom_site_type_symbol
_atom_site_fract_x
_atom_site_fract_y
_atom_site_fract_z
Ni1 Ni 0.126 0.250 0.084
Rh1 Rh 0.118 0.250 0.752
Rh2 Rh 0.133 0.250 0.419
# * Fermi-level density of states: 20.690 states/eV/cell

=====

Arrangement 2

# NiRh2, optimized geometry, DFT PBEsol
data_NiRh2
_cell_length_a 2.636
_cell_length_b 3.690
_cell_length_c 7.763
_cell_angle_alpha 90.00
_cell_angle_beta 90.00
_cell_angle_gamma 90.00
_symmetry_space_group_name_H-M 'P m m n'
_symmetry_Int_Tables_number 59
loop_
_symmetry_equiv_pos_as_xyz
'x,y,z'
'-x,-y,-z'
'-x+1/2,-y+1/2,z'
'x+1/2,y+1/2,-z'
'x+1/2,-y,-z'
'-x+1/2,y,z'
'-x,y+1/2,-z'
'x,-y+1/2,z'
loop_
_atom_site_label
_atom_site_type_symbol
_atom_site_fract_x
_atom_site_fract_y
_atom_site_fract_z
Ni1 Ni 0.250 0.250 0.079
Rh1 Rh 0.250 0.250 0.412
Rh2 Rh 0.250 0.250 0.761
# * Fermi-level density of states: 9.619 states/eV/cell

=====

Least stable structure: arrangement 1

=====

Arrangement 1

# Cu2Pt, optimized geometry, DFT PBEsol
data_Cu2Pt
_cell_length_a 5.278
_cell_length_b 7.333
_cell_length_c 15.743
_cell_angle_alpha 90.00
_cell_angle_beta 90.00
_cell_angle_gamma 90.00
_symmetry_space_group_name_H-M 'F m m 2'
_symmetry_Int_Tables_number 42
_symmetry_space_group_name_Hall 'F 2 -2'
loop_
_atom_site_label
_atom_site_type_symbol
_atom_site_fract_x
_atom_site_fract_y
_atom_site_fract_z
Cu1 Cu 0.000 0.000 0.000
Cu2 Cu 0.000 0.000 0.159
Cu3 Cu 0.000 0.000 0.498
Cu4 Cu 0.000 0.000 0.826
Cu5 Cu 0.250 0.250 0.079
Cu6 Cu 0.250 0.250 0.242
Pt1 Pt 0.000 0.000 0.322
Pt2 Pt 0.000 0.000 0.660
Pt3 Pt 0.250 0.250 0.415
# * Fermi-level density of states: 21.026 states/eV/cell

=====

Arrangement 2

# Cu2Pt, optimized geometry, DFT PBEsol
data_Cu2Pt
_cell_length_a 7.625
_cell_length_b 2.690
_cell_length_c 7.922
_cell_angle_alpha 90.00
_cell_angle_beta 110.17
_cell_angle_gamma 90.00
_symmetry_space_group_name_H-M 'P 1 m 1'
_symmetry_Int_Tables_number 6
_symmetry_space_group_name_Hall 'P -2y'
loop_
_atom_site_label
_atom_site_type_symbol
_atom_site_fract_x
_atom_site_fract_y
_atom_site_fract_z
Cu1 Cu 0.000 0.000 0.000
Cu2 Cu 0.001 0.000 0.338
Cu3 Cu 0.243 0.500 0.253
Cu4 Cu 0.507 0.000 0.833
Cu5 Cu 0.513 0.000 0.511
Cu6 Cu 0.756 0.500 0.751
Cu7 Cu 0.759 0.500 0.431
Cu8 Cu 0.994 0.000 0.665
Pt1 Pt 0.243 0.500 0.918
Pt2 Pt 0.253 0.500 0.579
Pt3 Pt 0.503 0.000 0.185
Pt4 Pt 0.761 0.500 0.086
# * Fermi-level density of states: 6.160 states/eV/cell

=====

Least stable structure: arrangement 2

=====

Arrangement 1

# KScTe, optimized geometry, DFT PBEsol
data_KScTe
_cell_length_a 7.423
_cell_length_b 7.423
_cell_length_c 7.423
_cell_angle_alpha 90.00
_cell_angle_beta 90.00
_cell_angle_gamma 90.00
_symmetry_space_group_name_H-M 'F -4 3 m'
_symmetry_Int_Tables_number 216
_symmetry_space_group_name_Hall 'F -4 2 3'
loop_
_atom_site_label
_atom_site_type_symbol
_atom_site_fract_x
_atom_site_fract_y
_atom_site_fract_z
K1 K 0.000 0.000 0.000
Sc1 Sc 0.250 0.250 0.750
Te1 Te 0.250 0.250 0.250
# * Fermi-level density of states: 22.431 states/eV/cell

=====

Arrangement 2

# KScTe, optimized geometry, DFT PBEsol
data_KScTe
_cell_length_a 4.0563
_cell_length_b 4.0563
_cell_length_c 7.5585
_cell_angle_alpha 90.00
_cell_angle_beta 90.00
_cell_angle_gamma 120.00
_symmetry_space_group_name_H-M 'P 3 m 1'
_symmetry_Int_Tables_number 156
_symmetry_space_group_name_Hall 'P 3 -2"'
loop_
_atom_site_label
_atom_site_type_symbol
_atom_site_fract_x
_atom_site_fract_y
_atom_site_fract_z
K1 K 0.0000 0.0000 0.0000
Sc1 Sc 0.3333 0.6667 0.5456
Te1 Te 0.6667 0.3333 0.3361
# * Fermi-level density of states: 2.953 states/eV/cell

=====

Least stable structure: arrangement 1

=====

Arrangement 1

# In, optimized geometry, DFT PBEsol
data_In
_cell_length_a 5.847
_cell_length_b 5.847
_cell_length_c 3.083
_cell_angle_alpha 90.00
_cell_angle_beta 90.00
_cell_angle_gamma 90.00
_symmetry_space_group_name_H-M 'I 41/a m d'
_symmetry_Int_Tables_number 141
loop_
_symmetry_equiv_pos_as_xyz
'x,y,z'
'-x,-y,-z'
'-y+1/4,x+3/4,z+1/4'
'y+1/4,-x+3/4,-z+1/4'
'-x+1/2,-y,z+1/2'
'x+1/2,y,-z+1/2'
'y+1/4,-x+1/4,z+3/4'
'-y+1/4,x+1/4,-z+3/4'
'x,-y,-z'
'-x,y,z'
'-y+1/4,-x+1/4,-z+3/4'
'y+1/4,x+1/4,z+3/4'
'-x+1/2,y,-z+1/2'
'x+1/2,-y,z+1/2'
'y+1/4,x+3/4,-z+1/4'
'-y+1/4,-x+3/4,z+1/4'
'x+1/2,y+1/2,z+1/2'
'-x+1/2,-y+1/2,-z+1/2'
'-y+3/4,x+1/4,z+3/4'
'y+3/4,-x+1/4,-z+3/4'
'-x,-y+1/2,z'
'x,y+1/2,-z'
'y+3/4,-x+3/4,z+1/4'
'-y+3/4,x+3/4,-z+1/4'
'x+1/2,-y+1/2,-z+1/2'
'-x+1/2,y+1/2,z+1/2'
'-y+3/4,-x+3/4,-z+1/4'
'y+3/4,x+3/4,z+1/4'
'-x,y+1/2,-z'
'x,-y+1/2,z'
'y+3/4,x+1/4,-z+3/4'
'-y+3/4,-x+1/4,z+3/4'
loop_
_atom_site_label
_atom_site_type_symbol
_atom_site_fract_x
_atom_site_fract_y
_atom_site_fract_z
In1 In 0.000 0.250 0.375
# * Fermi-level density of states: 2.140 states/eV/cell

=====

Arrangement 2

# In, optimized geometry, DFT PBEsol
data_In
_cell_length_a 11.414
_cell_length_b 11.414
_cell_length_c 11.414
_cell_angle_alpha 90.00
_cell_angle_beta 90.00
_cell_angle_gamma 90.00
_symmetry_space_group_name_H-M 'I -4 3 m'
_symmetry_Int_Tables_number 217
_symmetry_space_group_name_Hall 'I -4 2 3'
loop_
_atom_site_label
_atom_site_type_symbol
_atom_site_fract_x
_atom_site_fract_y
_atom_site_fract_z
In1 In 0.000 0.000 0.000
In2 In 0.050 0.360 0.640
In3 In 0.094 0.094 0.713
In4 In 0.172 0.172 0.172
# * Fermi-level density of states: 24.806 states/eV/cell

=====

Least stable structure: arrangement 1

=====

Arrangement 1

# IrWBr2, optimized geometry, DFT PBEsol
data_IrWBr2
_cell_length_a 3.051
_cell_length_b 3.206
_cell_length_c 8.462
_cell_angle_alpha 90.00
_cell_angle_beta 90.11
_cell_angle_gamma 90.00
_symmetry_space_group_name_H-M 'P 1 m 1'
_symmetry_Int_Tables_number 6
_symmetry_space_group_name_Hall 'P -2y'
loop_
_atom_site_label
_atom_site_type_symbol
_atom_site_fract_x
_atom_site_fract_y
_atom_site_fract_z
Ir1 Ir 0.000 0.000 0.000
W1 W 0.499 0.500 0.838
Br1 Br 0.002 0.500 0.247
Br2 Br 0.498 0.000 0.605
# * Fermi-level density of states: 3.725 states/eV/cell

=====

Arrangement 2

# IrWBr2, optimized geometry, DFT PBEsol
data_IrWBr2
_cell_length_a 3.0092
_cell_length_b 3.0092
_cell_length_c 28.7997
_cell_angle_alpha 90.00
_cell_angle_beta 90.00
_cell_angle_gamma 120.00
_symmetry_space_group_name_H-M 'R 3 m'
_symmetry_Int_Tables_number 160
_symmetry_space_group_name_Hall 'R 3 -2"'
loop_
_atom_site_label
_atom_site_type_symbol
_atom_site_fract_x
_atom_site_fract_y
_atom_site_fract_z
Ir1 Ir 0.0000 0.0000 0.0000
W1 W 0.0000 0.0000 0.7354
Br1 Br 0.0000 0.0000 0.2529
Br2 Br 0.0000 0.0000 0.4709
# * Fermi-level density of states: 11.083 states/eV/cell

=====

Least stable structure: arrangement 2

=====

Arrangement 1

# CaCoMo2, optimized geometry, DFT PBEsol
data_CaCoMo2
_cell_length_a 3.710
_cell_length_b 3.710
_cell_length_c 9.326
_cell_angle_alpha 90.00
_cell_angle_beta 90.00
_cell_angle_gamma 90.00
_symmetry_space_group_name_H-M 'I 4/m m m'
_symmetry_Int_Tables_number 139
_symmetry_space_group_name_Hall '-I 4 2'
loop_
_atom_site_label
_atom_site_type_symbol
_atom_site_fract_x
_atom_site_fract_y
_atom_site_fract_z
Ca1 Ca 0.000 0.000 0.000
Co1 Co 0.000 0.000 0.500
Mo1 Mo 0.000 0.500 0.250
# * Fermi-level density of states: 9.222 states/eV/cell

=====

Arrangement 2

# CaCoMo2, optimized geometry, DFT PBEsol
data_CaCoMo2
_cell_length_a 4.728
_cell_length_b 4.728
_cell_length_c 2.752
_cell_angle_alpha 90.00
_cell_angle_beta 90.00
_cell_angle_gamma 90.00
_symmetry_space_group_name_H-M 'P 4/m m m'
_symmetry_Int_Tables_number 123
_symmetry_space_group_name_Hall '-P 4 2'
loop_
_atom_site_label
_atom_site_type_symbol
_atom_site_fract_x
_atom_site_fract_y
_atom_site_fract_z
Ca1 Ca 0.000 0.000 0.000
Co1 Co 0.500 0.500 0.000
Mo1 Mo 0.000 0.500 0.500
# * Fermi-level density of states: 5.328 states/eV/cell

=====

Least stable structure: arrangement 2

=====

Arrangement 1

# TaTlZn2, optimized geometry, DFT PBEsol
data_TaTlZn2
_cell_length_a 3.977
_cell_length_b 3.977
_cell_length_c 8.843
_cell_angle_alpha 90.00
_cell_angle_beta 90.00
_cell_angle_gamma 90.00
_symmetry_space_group_name_H-M 'I 4/m m m'
_symmetry_Int_Tables_number 139
_symmetry_space_group_name_Hall '-I 4 2'
loop_
_atom_site_label
_atom_site_type_symbol
_atom_site_fract_x
_atom_site_fract_y
_atom_site_fract_z
Ta1 Ta 0.000 0.000 0.000
Tl1 Tl 0.000 0.000 0.500
Zn1 Zn 0.000 0.500 0.250
# * Fermi-level density of states: 5.990 states/eV/cell

=====

Arrangement 2

# TaTlZn2, optimized geometry, DFT PBEsol
data_TaTlZn2
_cell_length_a 3.872
_cell_length_b 3.872
_cell_length_c 9.114
_cell_angle_alpha 90.00
_cell_angle_beta 90.00
_cell_angle_gamma 90.00
_symmetry_space_group_name_H-M 'I -4 m 2'
_symmetry_Int_Tables_number 119
_symmetry_space_group_name_Hall 'I -4 -2'
loop_
_atom_site_label
_atom_site_type_symbol
_atom_site_fract_x
_atom_site_fract_y
_atom_site_fract_z
Ta1 Ta 0.000 0.000 0.000
Tl1 Tl 0.000 0.500 0.250
Zn1 Zn 0.000 0.000 0.500
Zn2 Zn 0.000 0.500 0.750
# * Fermi-level density of states: 5.963 states/eV/cell

=====

Least stable structure: arrangement 1

=====

Arrangement 1

# TaBrCl2, optimized geometry, DFT PBEsol
data_TaBrCl2
_cell_length_a 3.2153
_cell_length_b 3.2153
_cell_length_c 26.4374
_cell_angle_alpha 90.00
_cell_angle_beta 90.00
_cell_angle_gamma 120.00
_symmetry_space_group_name_H-M 'R 3 m'
_symmetry_Int_Tables_number 160
_symmetry_space_group_name_Hall 'R 3 -2"'
loop_
_atom_site_label
_atom_site_type_symbol
_atom_site_fract_x
_atom_site_fract_y
_atom_site_fract_z
Ta1 Ta 0.0000 0.0000 0.0000
Br1 Br 0.0000 0.0000 0.2633
Cl1 Cl 0.0000 0.0000 0.4990
Cl2 Cl 0.0000 0.0000 0.7308
# * Fermi-level density of states: 9.191 states/eV/cell

=====

Arrangement 2

# TaBrCl2, optimized geometry, DFT PBEsol
data_TaBrCl2
_cell_length_a 3.005
_cell_length_b 6.054
_cell_length_c 9.813
_cell_angle_alpha 90.00
_cell_angle_beta 90.00
_cell_angle_gamma 90.00
_symmetry_space_group_name_H-M 'C m m 2'
_symmetry_Int_Tables_number 35
_symmetry_space_group_name_Hall 'C 2 -2'
loop_
_atom_site_label
_atom_site_type_symbol
_atom_site_fract_x
_atom_site_fract_y
_atom_site_fract_z
Ta1 Ta 0.000 0.000 0.000
Br1 Br 0.000 0.500 0.212
Cl1 Cl 0.000 0.000 0.502
Cl2 Cl 0.000 0.500 0.804
# * Fermi-level density of states: 5.427 states/eV/cell

=====

Least stable structure: arrangement 2